# 1
## Pm2SnPt (PBE)

Data for a relaxed structure of Pm2SnPt.

Values from the calculation:
**Crystal system**: trigonal
**Spin magnetization**: 0.00 μB per cell
**ΔH_f (0 K)**: -97 meV/atom
**E_tot**: -4.9833 eV/atom

Cell: 3.3427 3.3427 32.8899 Å, 90.00 90.00 120.00°
Closest atoms and distances in Å follow each position.
Space group R-3m (No. 166, hexagonal axes)
Symmetry-distinct sites (fractional):
Pm (0.0000, 0.0000, 0.0829) [6 per cell]  1 Pt 2.73
Sn (0.0000, 0.0000, 0.5000) [3 per cell]  6 Sn 3.34, 6 Pm 3.36
Pt (0.0000, 0.0000, 0.0000) [3 per cell]  2 Pm 2.73

# 2
## Pm3Sn2Pt4 (PBE)

Data for a relaxed structure of Pm3Sn2Pt4.

Values from the calculation:
**Crystal system**: monoclinic
**Spin magnetization**: 0.00 μB per cell
**ΔH_f (0 K)**: -964 meV/atom
**E_tot**: -6.1220 eV/atom
**Offset from the most stable computed form**: 0.0599 eV/atom

Cell: 10.4031 4.5002 8.9721 Å, 90.00 96.72 90.00°
Closest atoms and distances in Å follow each position.
Space group C2/m (No. 12)
Symmetry-distinct sites (fractional):
Pm (0.0000, 0.0000, 0.0000) [2 per cell]  6 Pt 3.14-3.26
Pm (0.1204, 0.5000, 0.3859) [4 per cell]  6 Pt 2.91-3.16
Sn (0.1820, 0.5000, 0.7818) [4 per cell]  5 Pt 2.73-2.77
Pt (0.0858, 0.0000, 0.6258) [4 per cell]  1 Pt 2.71, 2 Sn 2.77
Pt (0.2051, 0.5000, 0.0877) [4 per cell]  3 Sn 2.73-2.74, 1 Pm 2.91, 2 Pt 2.96

# 3
## Pm2Sn5Pt3 (PBE)

Data for a relaxed structure of Pm2Sn5Pt3.

Values from the calculation:
**Crystal system**: orthorhombic
**Spin magnetization**: 0.00 μB per cell
**ΔH_f (0 K)**: -724 meV/atom
**E_tot**: -5.4878 eV/atom
**Offset from the most stable computed form**: 0.0713 eV/atom

Cell: 11.0134 12.6839 6.7202 Å, 90.00 90.00 90.00°
Closest atoms and distances in Å follow each position.
Space group Ibam (No. 72)
Symmetry-distinct sites (fractional):
Pm (0.2241, 0.1447, 0.0000) [8 per cell]  6 Sn 3.21-3.50, 3 Pt 3.29-3.59
Sn (0.0000, 0.0000, 0.2500) [4 per cell]  4 Pt 2.72
Sn (0.0000, 0.2752, 0.2500) [8 per cell]  3 Pt 2.67-2.85
Sn (0.1644, 0.4108, 0.0000) [8 per cell]  3 Pt 2.59-2.72
Pt (0.0000, 0.5000, 0.2500) [4 per cell]  6 Sn 2.72-2.85
Pt (0.1082, 0.1406, 0.5000) [8 per cell]  5 Sn 2.59-2.72

# 4
## Pm3Sn2Pt4 (PBE)

Data for a relaxed structure of Pm3Sn2Pt4.

Values from the calculation:
**Crystal system**: monoclinic
**Spin magnetization**: 0.00 μB per cell
**ΔH_f (0 K)**: -1024 meV/atom
**E_tot**: -6.1819 eV/atom
**Offset from the most stable computed form**: 0.0000 eV/atom

Cell: 11.2414 4.5002 8.9920 Å, 90.00 115.52 90.00°
Closest atoms and distances in Å follow each position.
Space group C2/m (No. 12)
Symmetry-distinct sites (fractional):
Pm (0.0000, 0.0000, 0.0000) [2 per cell]  8 Pt 3.19-3.46, 4 Sn 3.54
Pm (0.1360, 0.5000, 0.6977) [4 per cell]  7 Pt 3.02-3.26, 3 Sn 3.27
Sn (0.1632, 0.5000, 0.3290) [4 per cell]  4 Pt 2.68-2.83
Pt (0.0781, 0.0000, 0.4131) [4 per cell]  3 Sn 2.68-2.83, 1 Pt 2.81
Pt (0.2178, 0.5000, 0.0651) [4 per cell]  1 Sn 2.70, 2 Pt 2.77

# 5
## Pm3SnPt (PBE)

Data for a relaxed structure of Pm3SnPt.

Values from the calculation:
**Crystal system**: orthorhombic
**Spin magnetization**: 0.00 μB per cell
**ΔH_f (0 K)**: -780 meV/atom
**E_tot**: -5.6393 eV/atom
**Offset from the most stable computed form**: 0.0000 eV/atom

Cell: 4.6076 6.9892 9.2769 Å, 90.00 90.00 90.00°
Closest atoms and distances in Å follow each position.
Space group Pmmn (No. 59, origin choice 2)
Symmetry-distinct sites (fractional):
Pm (0.2500, 0.0080, 0.1608) [4 per cell]  3 Pt 2.94-2.98
Pm (0.2500, 0.2500, 0.5765) [2 per cell]  1 Pt 3.01, 2 Sn 3.11
Sn (0.2500, 0.7500, 0.6484) [2 per cell]  6 Pm 3.11-3.36
Pt (0.2500, 0.2500, 0.9012) [2 per cell]  7 Pm 2.94-3.01

# 6
## PmSnPt3 (PBE)

Data for a relaxed structure of PmSnPt3.

Values from the calculation:
**Crystal system**: orthorhombic
**Spin magnetization**: 0.00 μB per cell
**ΔH_f (0 K)**: -628 meV/atom
**E_tot**: -6.0030 eV/atom
**Offset from the most stable computed form**: 0.1490 eV/atom

Cell: 5.4591 7.6250 9.9330 Å, 90.00 90.00 90.00°
Closest atoms and distances in Å follow each position.
Space group Imma (No. 74)
Symmetry-distinct sites (fractional):
Pm (0.0000, 0.0000, 0.0000) [4 per cell]  2 Pt 3.00, 4 Sn 3.34
Sn (0.0000, 0.2500, 0.4779) [4 per cell]  4 Pt 2.63-2.64
Pt (0.0000, 0.0674, 0.7024) [8 per cell]  1 Sn 2.63, 5 Pt 2.78-2.89
Pt (0.2500, 0.2500, 0.2500) [4 per cell]  2 Sn 2.64, 6 Pt 2.73-2.82

# 7
## Pm2SnPt6 (PBE)

Data for a relaxed structure of Pm2SnPt6.

Values from the calculation:
**Crystal system**: monoclinic
**Spin magnetization**: 0.00 μB per cell
**ΔH_f (0 K)**: -880 meV/atom
**E_tot**: -6.4079 eV/atom

Cell: 9.8681 5.7544 6.4659 Å, 90.00 103.57 90.00°
Closest atoms and distances in Å follow each position.
Space group C2/m (No. 12)
Symmetry-distinct sites (fractional):
Pm (0.1429, 0.0000, 0.3479) [4 per cell]  9 Pt 3.04-3.37
Sn (0.0000, 0.5000, 0.5000) [2 per cell]  6 Pt 2.62-2.66
Pt (0.1216, 0.5000, 0.1809) [4 per cell]  1 Sn 2.62, 5 Pt 2.75-2.93
Pt (0.1372, 0.2376, 0.8199) [8 per cell]  1 Sn 2.66, 5 Pt 2.73-2.97

# 8
## Pm2Sn3Pt (PBE)

Data for a relaxed structure of Pm2Sn3Pt.

Values from the calculation:
**Crystal system**: orthorhombic
**Spin magnetization**: 0.00 μB per cell
**ΔH_f (0 K)**: -697 meV/atom
**E_tot**: -5.2884 eV/atom
**Offset from the most stable computed form**: 0.0802 eV/atom

Cell: 4.0795 4.8386 7.9666 Å, 90.00 90.00 90.00°
Closest atoms and distances in Å follow each position.
Space group Pmm2 (No. 25)
Symmetry-distinct sites (fractional):
Pm (0.0000, 0.0000, 0.0000) [1 per cell]  2 Pt 3.17, 8 Sn 3.44-3.49
Pm (0.0000, 0.5000, 0.4834) [1 per cell]  8 Sn 3.23-3.39, 4 Pt 3.47
Sn (0.5000, 0.0000, 0.6347) [1 per cell]  1 Pt 2.64, 2 Sn 2.82
Sn (0.5000, 0.5000, 0.1696) [1 per cell]  2 Pt 2.65, 1 Sn 2.81
Sn (0.5000, 0.5000, 0.8166) [1 per cell]  3 Sn 2.81-2.82
Pt (0.5000, 0.0000, 0.3039) [1 per cell]  3 Sn 2.64-2.65